This record from Alexandria describes Si3HgGe after structural relaxation. The functional is PBE.

Computed properties:
Distance to the lowest polymorph of the same formula ... 0 meV per atom
Density of states at the Fermi level ... 2.70 states/eV/cell
SG ... No. 221
Uncorrected formation energy ... 0.986 eV/atom

```
data_Si3HgGe
_cell_length_a 4.814
_cell_length_b 4.814
_cell_length_c 4.814
_cell_angle_alpha 90.00
_cell_angle_beta 90.00
_cell_angle_gamma 90.00
_space_group_name_H-M_alt 'P 1'
_space_group_IT_number 1
loop_
_space_group_symop_operation_xyz
'x,y,z'
loop_
_atom_site_label
_atom_site_type_symbol
_atom_site_fract_x
_atom_site_fract_y
_atom_site_fract_z
Ge1 Ge 0.000 0.000 0.000
Si1 Si 0.000 0.500 0.000
Si2 Si 0.000 0.000 0.500
Si3 Si 0.500 0.000 0.000
Hg1 Hg 0.500 0.500 0.500
```